# 1
First-principles (PBE) data for an optimized crystal structure of Hf3Ni2As4Pt2, as listed in OQMD via LeMat-Bulk.

Summary:
E   -80.21 eV/cell
Symmetry   No. 6

The structure in CIF format:
```
data_Hf3Ni2As4Pt2
_chemical_formula_sum 'Hf3 Ni2 As4 Pt2'
_symmetry_space_group_name_H-M 'P 1'
_symmetry_Int_Tables_number 1
_cell_length_a 6.5193
_cell_length_b 3.8854
_cell_length_c 7.4764
_cell_angle_alpha 90.00
_cell_angle_beta 90.13
_cell_angle_gamma 90.00
loop_
_symmetry_equiv_pos_as_xyz
'x,y,z'
loop_
_atom_site_label
_atom_site_fract_x
_atom_site_fract_y
_atom_site_fract_z
Hf1 0.0000 0.0000 0.0000
Hf2 0.0751 0.5000 0.6273
Hf3 0.5584 0.5000 0.4995
Ni1 0.1577 0.5000 0.2596
Ni2 0.9190 0.0000 0.3652
As1 0.2895 0.0000 0.3983
As2 0.3038 0.5000 0.9681
As3 0.7820 0.5000 0.2102
As4 0.7871 0.0000 0.6651
Pt1 0.3604 0.0000 0.7494
Pt2 0.6968 0.5000 0.8855
```

---

# 2
First-principles (PBE) data for an optimized crystal structure of PmP, as listed in OQMD via LeMat-Bulk.

Summary:
E   -47.42 eV/cell
Symmetry   No. 51
Distance to the lowest polymorph of the same formula   0.716 eV per atom

The structure in CIF format:
```
data_PmP
_chemical_formula_sum 'Pm4 P4'
_symmetry_space_group_name_H-M 'P 1'
_symmetry_Int_Tables_number 1
_cell_length_a 6.3221
_cell_length_b 5.5581
_cell_length_c 5.5020
_cell_angle_alpha 90.00
_cell_angle_beta 90.00
_cell_angle_gamma 90.00
loop_
_symmetry_equiv_pos_as_xyz
'x,y,z'
loop_
_atom_site_label
_atom_site_fract_x
_atom_site_fract_y
_atom_site_fract_z
Pm1 0.0000 0.0000 0.0000
Pm2 0.2500 0.5000 0.3546
Pm3 0.5000 0.0000 0.0000
Pm4 0.7500 0.5000 0.6454
P1 0.2500 0.0000 0.4792
P2 0.2500 0.5000 0.8584
P3 0.7500 0.0000 0.5208
P4 0.7500 0.5000 0.1416
```

---

# 3
First-principles (PBE) data for an optimized crystal structure of BaZn13, as listed in OQMD via LeMat-Bulk.

Summary:
E   -41.72 eV/cell
Symmetry   No. 226

The structure in CIF format:
```
data_BaZn13
_chemical_formula_sum 'Ba2 Zn26'
_symmetry_space_group_name_H-M 'P 1'
_symmetry_Int_Tables_number 1
_cell_length_a 8.7127
_cell_length_b 8.7127
_cell_length_c 8.7127
_cell_angle_alpha 60.00
_cell_angle_beta 60.00
_cell_angle_gamma 60.00
loop_
_symmetry_equiv_pos_as_xyz
'x,y,z'
loop_
_atom_site_label
_atom_site_fract_x
_atom_site_fract_y
_atom_site_fract_z
Ba1 0.2500 0.2500 0.2500
Ba2 0.7500 0.7500 0.7500
Zn1 0.0000 0.0000 0.0000
Zn2 0.0585 0.2988 0.7012
Zn3 0.0585 0.7012 0.9415
Zn4 0.0585 0.9415 0.2988
Zn5 0.2012 0.4415 0.7988
Zn6 0.2012 0.5585 0.4415
Zn7 0.2012 0.7988 0.5585
Zn8 0.2988 0.0585 0.9415
Zn9 0.2988 0.7012 0.0585
Zn10 0.2988 0.9415 0.7012
Zn11 0.4415 0.2012 0.5585
Zn12 0.4415 0.5585 0.7988
Zn13 0.4415 0.7988 0.2012
Zn14 0.5000 0.5000 0.5000
Zn15 0.5585 0.2012 0.7988
Zn16 0.5585 0.4415 0.2012
Zn17 0.5585 0.7988 0.4415
Zn18 0.7012 0.0585 0.2988
Zn19 0.7012 0.2988 0.9415
Zn20 0.7012 0.9415 0.0585
Zn21 0.7988 0.2012 0.4415
Zn22 0.7988 0.4415 0.5585
Zn23 0.7988 0.5585 0.2012
Zn24 0.9415 0.0585 0.7012
Zn25 0.9415 0.2988 0.0585
Zn26 0.9415 0.7012 0.2988
```

---

# 4
First-principles (PBE) data for an optimized crystal structure of La4Nd4Se3, as listed in OQMD via LeMat-Bulk.

Summary:
E   -58.04 eV/cell
Symmetry   No. 38

The structure in CIF format:
```
data_La4Nd4Se3
_chemical_formula_sum 'La4 Nd4 Se3'
_symmetry_space_group_name_H-M 'P 1'
_symmetry_Int_Tables_number 1
_cell_length_a 10.4477
_cell_length_b 9.0744
_cell_length_c 9.0744
_cell_angle_alpha 23.44
_cell_angle_beta 90.00
_cell_angle_gamma 90.00
loop_
_symmetry_equiv_pos_as_xyz
'x,y,z'
loop_
_atom_site_label
_atom_site_fract_x
_atom_site_fract_y
_atom_site_fract_z
La1 0.0000 0.0000 0.0000
La2 0.2388 0.1525 0.1525
La3 0.5000 0.0057 0.0057
La4 0.7612 0.1525 0.1525
Nd1 0.0000 0.2964 0.2964
Nd2 0.2655 0.8609 0.8609
Nd3 0.5000 0.2685 0.2685
Nd4 0.7345 0.8609 0.8609
Se1 0.0000 0.6503 0.6503
Se2 0.2588 0.5083 0.5083
Se3 0.7412 0.5083 0.5083
```

---

> E of number 3 (BaZn13)?

-41.72 eV/cell

---

> Among the records above, which one has the highest E?

BaZn13

---

> Look up the E of the third one.

-41.72 eV/cell